Entry 1:
First-principles (PBE-GGA) data for a relaxed structure of TlPSN2, as listed in Alexandria.

## Properties
polymorph energy (0 for the lowest one) = 0 meV/atom
formation energy from raw total energies = 0.886 eV/atom
V = 74 Å³/f.u.

Structure (POSCAR):
```
TlPSN2
1.0
3.580 0.000 0.000
0.000 3.580 0.000
0.000 0.000 5.789
Tl P S N
1 1 1 2
direct
0.000 0.000 0.000
0.500 0.500 0.500
0.500 0.500 0.000
0.000 0.500 0.500
0.500 0.000 0.500
```

=====

Entry 2:
First-principles (PBE-GGA) data for a relaxed structure of TlPS2N, as listed in Alexandria.

## Properties
polymorph energy (0 for the lowest one) = 1594 meV/atom
formation energy from raw total energies = 2.054 eV/atom
V = 146 Å³/f.u.

Structure (POSCAR):
```
TlPS2N
1.0
5.184 0.000 0.000
0.000 5.184 0.000
0.000 0.000 5.451
Tl P S N
1 1 2 1
direct
0.000 0.000 0.000
0.000 0.000 0.500
0.000 0.500 0.000
0.500 0.000 0.000
0.500 0.500 0.500
```

=====

Entry 3:
First-principles (PBE-GGA) data for a relaxed structure of TlPS2N, as listed in Alexandria.

## Properties
polymorph energy (0 for the lowest one) = 471 meV/atom
formation energy from raw total energies = 0.931 eV/atom
V = 88 Å³/f.u.

Structure (POSCAR):
```
TlPS2N
1.0
4.966 0.000 0.000
0.000 4.966 0.000
0.000 0.000 3.581
Tl P S N
1 1 2 1
direct
0.000 0.000 0.000
0.500 0.500 0.000
0.000 0.500 0.500
0.500 0.000 0.500
0.500 0.500 0.500
```

=====

Entry 4:
First-principles (PBE-GGA) data for a relaxed structure of TlP2SN, as listed in Alexandria.

## Properties
polymorph energy (0 for the lowest one) = 0 meV/atom
formation energy from raw total energies = 1.033 eV/atom
V = 81 Å³/f.u.

Structure (POSCAR):
```
TlP2SN
1.0
4.233 0.000 0.000
0.000 4.233 0.000
0.000 0.000 4.515
Tl P S N
1 2 1 1
direct
0.000 0.000 0.000
0.000 0.500 0.500
0.500 0.000 0.500
0.500 0.500 0.000
0.500 0.500 0.500
```

=====

Entry 5:
First-principles (PBE-GGA) data for a relaxed structure of TlPS2N, as listed in Alexandria.

## Properties
polymorph energy (0 for the lowest one) = 1363 meV/atom
formation energy from raw total energies = 1.822 eV/atom
V = 108 Å³/f.u.

Structure (POSCAR):
```
TlPS2N
1.0
5.155 0.000 0.000
0.000 5.155 0.000
0.000 0.000 4.080
Tl P S N
1 1 2 1
direct
0.000 0.000 0.000
0.500 0.500 0.500
0.000 0.500 0.000
0.500 0.000 0.000
0.000 0.000 0.500
```

=====

Entry 6:
First-principles (PBE-GGA) data for a relaxed structure of Tm4PS2N, as listed in Alexandria.

## Properties
formation energy from raw total energies = -1.795 eV/atom
V = 152 Å³/f.u.

Structure (POSCAR):
```
Tm4PS2N
1.0
6.511 0.000 0.000
0.000 3.738 0.000
-2.145 0.000 6.252
Tm P S N
4 1 2 1
direct
0.221 0.000 0.217
0.235 0.500 0.773
0.765 0.500 0.227
0.779 0.000 0.783
0.500 0.000 0.000
0.000 0.000 0.500
0.500 0.500 0.500
0.000 0.500 0.000
```

=====

What did the fifth record say?
First-principles (PBE-GGA) data for a relaxed structure of TlPS2N, as listed in Alexandria.

## Properties
polymorph energy (0 for the lowest one) = 1363 meV/atom
formation energy from raw total energies = 1.822 eV/atom
V = 108 Å³/f.u.

Structure (POSCAR):
```
TlPS2N
1.0
5.155 0.000 0.000
0.000 5.155 0.000
0.000 0.000 4.080
Tl P S N
1 1 2 1
direct
0.000 0.000 0.000
0.500 0.500 0.500
0.000 0.500 0.000
0.500 0.000 0.000
0.000 0.000 0.500
```

=====

> Which value of V does entry 6 give?

152 Å³/f.u.